# Pr2TcBr

Pr2TcBr after structural relaxation (PBE, Alexandria).

abc: 3.5359 3.5359 10.1685
angles: 79.99 79.99 60.00
Atoms (fractional coordinates):
Pr (0.0850, 0.0850, 0.7450)
Pr (0.9150, 0.9150, 0.2550)
Tc (0.0000, 0.0000, 0.0000)
Br (0.5000, 0.5000, 0.5000)

Output
As for the space group: R-3m, No. 166. The distance to the lowest polymorph of the same formula is 706 meV per atom. The calculation puts the volume at 26.964 A^3/atom.